Dy3Te3C | PBE | relaxed

Cell: 7.549 7.549 7.642 Å, 97.41 97.41 111.67°
Element x y z (fractional)
Dy: 0.096 0.096 0.832
Dy: 0.152 0.440 0.280
Te: 0.166 0.834 0.500
C: 0.832 0.832 0.857
Te: 0.262 0.738 0.000
Dy: 0.848 0.560 0.720
Te: 0.392 0.392 0.651
Te: 0.834 0.166 0.500
Te: 0.738 0.262 0.000
C: 0.168 0.168 0.143
Dy: 0.440 0.152 0.280
Te: 0.608 0.608 0.349
Dy: 0.904 0.904 0.168
Dy: 0.560 0.848 0.720

total DFT energy (no corrections)	-5.571	eV/atom

=====

KCeAu | PBE | relaxed

Cell: 4.991 4.991 12.135 Å, 101.90 101.90 59.96°
Element x y z (fractional)
K: 0.117 0.117 0.351
Ce: 0.368 0.368 0.102
Au: 0.720 0.720 0.159
K: 0.883 0.883 0.649
Ce: 0.632 0.632 0.898
Au: 0.280 0.280 0.841

ΔE_f	-0.16	eV per atom
total DFT energy (no corrections)	-3.592	eV/atom

=====

CsNa2As2 | PBE | relaxed

Cell: 8.790 8.790 4.430 Å, 90.00 90.00 90.00°
Element x y z (fractional)
Cs: 0.000 0.000 0.000
Na: 0.136 0.636 0.500
Cs: 0.500 0.500 0.000
As: 0.400 0.900 0.000
As: 0.600 0.100 0.000
Na: 0.864 0.364 0.500
As: 0.900 0.600 0.000
Na: 0.636 0.864 0.500
As: 0.100 0.400 0.000
Na: 0.364 0.136 0.500

ΔE_f	-0.24	eV per atom
total DFT energy (no corrections)	-2.802	eV/atom
excess energy over the best structure of this formula in the dataset	133.8	meV/atom

=====

SrScPt4 | PBE | relaxed

Cell: 5.447 5.447 5.447 Å, 60.00 60.00 60.00°
Element x y z (fractional)
Pt: 0.375 0.375 0.874
Pt: 0.375 0.874 0.375
Pt: 0.375 0.375 0.375
Sr: 0.000 0.000 0.000
Pt: 0.874 0.375 0.375
Sc: 0.750 0.750 0.750

ΔE_f	-0.83	eV per atom
total DFT energy (no corrections)	-6.196	eV/atom

=====

CaMgRu | PBE | relaxed

Cell: 3.242 3.242 7.140 Å, 90.00 90.00 120.00°
Element x y z (fractional)
Mg: 0.667 0.333 0.389
Ru: 0.333 0.667 0.658
Ca: 0.000 0.000 0.952

ΔE_f	0.35	eV per atom
total DFT energy (no corrections)	-3.945	eV/atom

=====

CdGa2Pt2 | PBE | relaxed

Cell: 4.089 4.089 6.203 Å, 70.76 70.76 90.00°
Element x y z (fractional)
Ga: 0.612 0.612 0.776
Pt: 0.750 0.250 0.500
Ga: 0.388 0.388 0.224
Cd: 0.000 0.000 0.000
Pt: 0.250 0.750 0.500

ΔE_f	-0.33	eV per atom
total DFT energy (no corrections)	-4.139	eV/atom
excess energy over the best structure of this formula in the dataset	152.5	meV/atom